# 1
Material: Zr2SeBr
Method: DFT, PBE-GGA
State: relaxed

Unit cell a=3.3143 b=4.7232 c=11.0926 alpha=90.00 beta=90.00 gamma=90.00
Atoms (fractional coordinates):
Zr  0.0000  0.0000  0.0000
Zr  0.0000  0.5000  0.2110
Zr  0.5000  0.0000  0.7110
Zr  0.5000  0.5000  0.5000
Se  0.0000  0.5000  0.7012
Se  0.5000  0.0000  0.2012
Br  0.0000  0.0000  0.4943
Br  0.5000  0.5000  0.9943

* mass density: 6.5 Mg/m³
* ΔE_f (raw): -0.61 eV/atom
* excess energy over the best structure of this formula in the dataset: 300 meV/atom
* V: 21.706 Å³/atom

***

# 2
Material: ZrSeBr
Method: DFT, PBE-GGA
State: relaxed

Unit cell a=6.7384 b=6.7384 c=6.7384 alpha=90.00 beta=90.00 gamma=90.00
Atoms (fractional coordinates):
Zr  0.0000  0.0000  0.0000
Zr  0.0000  0.5000  0.5000
Zr  0.5000  0.0000  0.5000
Zr  0.5000  0.5000  0.0000
Se  0.2500  0.2500  0.7500
Se  0.2500  0.7500  0.2500
Se  0.7500  0.2500  0.2500
Se  0.7500  0.7500  0.7500
Br  0.0000  0.0000  0.5000
Br  0.0000  0.5000  0.0000
Br  0.5000  0.0000  0.0000
Br  0.5000  0.5000  0.5000

* mass density: 5.4 Mg/m³
* ΔE_f (raw): -0.17 eV/atom
* V: 25.497 Å³/atom

***

# 3
Material: ZrSe2Br
Method: DFT, PBE-GGA
State: relaxed

Unit cell a=6.9370 b=6.9370 c=6.9370 alpha=90.00 beta=90.00 gamma=90.00
Atoms (fractional coordinates):
Zr  0.0000  0.0000  0.0000
Zr  0.0000  0.5000  0.5000
Zr  0.5000  0.0000  0.5000
Zr  0.5000  0.5000  0.0000
Se  0.0000  0.0000  0.5000
Se  0.0000  0.5000  0.0000
Se  0.2500  0.2500  0.7500
Se  0.2500  0.7500  0.2500
Se  0.5000  0.0000  0.0000
Se  0.5000  0.5000  0.5000
Se  0.7500  0.2500  0.2500
Se  0.7500  0.7500  0.7500
Br  0.2500  0.2500  0.2500
Br  0.2500  0.7500  0.7500
Br  0.7500  0.2500  0.7500
Br  0.7500  0.7500  0.2500

* mass density: 6.5 Mg/m³
* ΔE_f (raw): -0.29 eV/atom
* excess energy over the best structure of this formula in the dataset: 677 meV/atom
* V: 20.864 Å³/atom

***

# 4
Material: Zr2SeBr
Method: DFT, PBE-GGA
State: relaxed

Unit cell a=3.5417 b=3.5417 c=7.6402 alpha=90.00 beta=90.00 gamma=90.00
Atoms (fractional coordinates):
Zr  0.0000  0.0000  0.0000
Zr  0.5000  0.5000  0.2676
Se  0.5000  0.5000  0.8769
Br  0.0000  0.0000  0.5052

* mass density: 5.9 Mg/m³
* ΔE_f (raw): -0.89 eV/atom
* excess energy over the best structure of this formula in the dataset: 12 meV/atom
* V: 23.960 Å³/atom

***

# 5
Material: ZrSeBr2
Method: DFT, PBE-GGA
State: relaxed

Unit cell a=6.0618 b=9.1036 c=3.3462 alpha=90.00 beta=90.00 gamma=90.00
Atoms (fractional coordinates):
Zr  0.0000  0.0000  0.0000
Zr  0.5000  0.5000  0.0000
Se  0.0000  0.5000  0.0000
Se  0.5000  0.0000  0.0000
Br  0.2500  0.2500  0.5000
Br  0.2500  0.7500  0.5000
Br  0.7500  0.2500  0.5000
Br  0.7500  0.7500  0.5000

* mass density: 5.9 Mg/m³
* ΔE_f (raw): 0.06 eV/atom
* excess energy over the best structure of this formula in the dataset: 1289 meV/atom
* V: 23.082 Å³/atom

***

# 6
Material: ZrSe2Br
Method: DFT, PBE-GGA
State: relaxed

Unit cell a=3.5217 b=3.5217 c=8.1256 alpha=90.00 beta=90.00 gamma=90.00
Atoms (fractional coordinates):
Zr  0.0000  0.0000  0.0000
Se  0.0000  0.0000  0.6591
Se  0.5000  0.5000  0.8463
Br  0.5000  0.5000  0.2322

* mass density: 5.4 Mg/m³
* ΔE_f (raw): -0.64 eV/atom
* excess energy over the best structure of this formula in the dataset: 331 meV/atom
* V: 25.195 Å³/atom

***

# 7
Material: ZrSe2Br
Method: DFT, PBE-GGA
State: relaxed

Unit cell a=4.5348 b=4.5348 c=8.2084 alpha=90.00 beta=90.00 gamma=90.00
Atoms (fractional coordinates):
Zr  0.0000  0.0000  0.0000
Zr  0.5000  0.5000  0.5000
Se  0.0000  0.5000  0.2500
Se  0.0000  0.5000  0.7500
Se  0.5000  0.0000  0.2500
Se  0.5000  0.0000  0.7500
Br  0.0000  0.0000  0.5000
Br  0.5000  0.5000  0.0000

* mass density: 6.5 Mg/m³
* ΔE_f (raw): -0.34 eV/atom
* excess energy over the best structure of this formula in the dataset: 631 meV/atom
* V: 21.100 Å³/atom

***

# 8
Material: Zr2SeBr
Method: DFT, PBE-GGA
State: relaxed

Unit cell a=3.4034 b=3.4034 c=6.9179 alpha=90.00 beta=90.00 gamma=90.00
Atoms (fractional coordinates):
Zr  0.0000  0.0000  0.2236
Zr  0.0000  0.0000  0.7764
Se  0.5000  0.5000  0.0000
Br  0.5000  0.5000  0.5000

* mass density: 7.1 Mg/m³
* ΔE_f (raw): -0.66 eV/atom
* excess energy over the best structure of this formula in the dataset: 248 meV/atom
* V: 20.033 Å³/atom